(1)
DFT (PBE) results for a relaxed SrMg crystal.

CIF file:
```
data_SrMg
_space_group_name_H-M_alt 'F -4 3 m'
_space_group_IT_number 216
_space_group_name_Hall 'F -4 2 3'
_cell_length_a 7.879
_cell_length_b 7.879
_cell_length_c 7.879
_cell_angle_alpha 90.00
_cell_angle_beta 90.00
_cell_angle_gamma 90.00
loop_
_atom_site_label
_atom_site_fract_x
_atom_site_fract_y
_atom_site_fract_z
Sr1 0.000 0.000 0.000
Mg1 0.250 0.250 0.750
```

(2)
DFT (PBE) results for a relaxed SrMg crystal.

CIF file:
```
data_SrMg
_space_group_name_H-M_alt 'P 63/m m c'
_space_group_IT_number 194
_space_group_name_Hall '-P 6c 2c'
_cell_length_a 5.4610
_cell_length_b 5.4610
_cell_length_c 12.1408
_cell_angle_alpha 90.00
_cell_angle_beta 90.00
_cell_angle_gamma 120.00
loop_
_atom_site_label
_atom_site_fract_x
_atom_site_fract_y
_atom_site_fract_z
Sr1 0.3333 0.6667 0.0952
Mg1 0.0000 0.0000 0.2500
Mg2 0.3333 0.6667 0.7500
```

(3)
# PBE Sr4Mg5, optimized geometry
data_Sr4Mg5
_space_group_name_H-M_alt 'P 63/m c m'
_space_group_IT_number 193
_space_group_name_Hall '-P 6c 2'
_cell_length_a 10.2848
_cell_length_b 10.2848
_cell_length_c 7.0939
_cell_angle_alpha 90.00
_cell_angle_beta 90.00
_cell_angle_gamma 120.00
loop_
_atom_site_label
_atom_site_fract_x
_atom_site_fract_y
_atom_site_fract_z
Sr1 0.0000 0.0000 0.0000
Sr2 0.0000 0.3568 0.2500
Mg1 0.0000 0.3172 0.7500
Mg2 0.3333 0.6667 0.0000
# Energy above the most stable polymorph in this dataset (meV per atom): 26

(4)
DFT (PBE) results for a relaxed Sr3Mg crystal.

CIF file:
```
data_Sr3Mg
_space_group_name_H-M_alt 'P m -3 m'
_space_group_IT_number 221
_space_group_name_Hall '-P 4 2 3'
_cell_length_a 6.647
_cell_length_b 6.647
_cell_length_c 6.647
_cell_angle_alpha 90.00
_cell_angle_beta 90.00
_cell_angle_gamma 90.00
loop_
_atom_site_label
_atom_site_fract_x
_atom_site_fract_y
_atom_site_fract_z
Sr1 0.000 0.000 0.500
Mg1 0.000 0.000 0.000
```

(5)
DFT (PBE) results for a relaxed SrMg crystal.

CIF file:
```
data_SrMg
_space_group_name_H-M_alt 'P m -3 n'
_space_group_IT_number 223
_space_group_name_Hall '-P 4n 2 3'
_cell_length_a 9.828
_cell_length_b 9.828
_cell_length_c 9.828
_cell_angle_alpha 90.00
_cell_angle_beta 90.00
_cell_angle_gamma 90.00
loop_
_atom_site_label
_atom_site_fract_x
_atom_site_fract_y
_atom_site_fract_z
Sr1 0.000 0.250 0.500
Mg1 0.000 0.500 0.250
```

(6)
DFT (PBE) results for a relaxed Sr3Mg crystal.

CIF file:
```
data_Sr3Mg
_space_group_name_H-M_alt 'P m -3 n'
_space_group_IT_number 223
_space_group_name_Hall '-P 4n 2 3'
_cell_length_a 7.169
_cell_length_b 7.169
_cell_length_c 7.169
_cell_angle_alpha 90.00
_cell_angle_beta 90.00
_cell_angle_gamma 90.00
loop_
_atom_site_label
_atom_site_fract_x
_atom_site_fract_y
_atom_site_fract_z
Sr1 0.000 0.250 0.500
Mg1 0.000 0.000 0.000
```

In the order shown, the computed density values come out to 1.5 2.4 2.4 1.6 1.2 2.6 g/cm³.
In the order shown, the computed DFT formation energy values come out to 15.6 1.2 1.2 9.7 17.5 1.9 kcal/mol of atoms.